Compound: Sm19Dy4Tm6
Source: Alexandria via LeMat-Bulk
Functional: PBE-GGA
Structure: optimized geometry

Unit cell a=10.8856 b=10.8856 c=10.8856 alpha=109.47 beta=109.47 gamma=109.47
Fractional positions:
Sm  0.2620  0.0000  0.2620
Sm  0.4566  0.6739  0.6584
Sm  0.0000  0.2620  0.2620
Sm  0.5434  0.2018  0.2173
Sm  0.3261  0.7827  0.9845
Sm  0.9845  0.3261  0.7827
Sm  0.6584  0.4566  0.6739
Sm  0.3416  0.0155  0.7982
Sm  0.7827  0.9845  0.3261
Sm  0.0155  0.7982  0.3416
Sm  0.0000  0.0000  0.0000
Sm  0.2173  0.5434  0.2018
Sm  0.6739  0.6584  0.4566
Sm  0.7380  0.7380  0.0000
Sm  0.7380  0.0000  0.7380
Sm  0.0000  0.7380  0.7380
Sm  0.2018  0.2173  0.5434
Sm  0.2620  0.2620  0.0000
Sm  0.7982  0.3416  0.0155
Dy  0.0000  0.0000  0.6409
Dy  0.3591  0.3591  0.3591
Dy  0.0000  0.6409  0.0000
Dy  0.6409  0.0000  0.0000
Tm  0.1252  0.6252  0.5000
Tm  0.6252  0.5000  0.1252
Tm  0.5000  0.8748  0.3748
Tm  0.5000  0.1252  0.6252
Tm  0.3748  0.5000  0.8748
Tm  0.8748  0.3748  0.5000

Computed properties:
M_tot (Bohr magnetons per cell): 0.00
Energy (eV/atom): -4.27
Formation enthalpy at 0 K (meV per atom): 379